Crystalline Ga2Fe3Co7 at its relaxed geometry, computed with GGA-PBE.

```
Ga2Fe3Co7
1.0
1.979 -9.867 0.000
1.979 9.867 0.000
0.000 0.000 3.889
Ga Fe Co
2 3 7
Direct
0.152 0.848 0.000
0.848 0.152 0.000
0.348 0.652 0.500
0.500 0.500 0.500
0.652 0.348 0.500
0.000 0.000 0.000
0.072 0.928 0.500
0.279 0.721 0.000
0.426 0.574 0.000
0.574 0.426 0.000
0.721 0.279 0.000
0.928 0.072 0.500
```

Output
total DFT energy (no corrections) = -6.689 eV per atom
energy of formation from the pure elements = 7.3 kJ per mole of atoms
space-group type = No. 65

---

Crystalline TmTcGe2Ru at its relaxed geometry, computed with GGA-PBE.

```
TmTcGe2Ru
1.0
-2.128 2.128 4.968
2.128 -2.128 4.968
2.128 2.128 -4.968
Tm Tc Ge Ru
1 1 2 1
Direct
0.000 0.000 0.000
0.750 0.250 0.500
0.373 0.373 0.000
0.627 0.627 0.000
0.250 0.750 0.500
```

Output
total DFT energy (no corrections) = -7.157 eV per atom
energy of formation from the pure elements = -47.0 kJ per mole of atoms
space-group type = No. 119

---

Crystalline Cs2BiCl5 at its relaxed geometry, computed with GGA-PBE.

```
Cs2BiCl5
1.0
13.907 0.000 0.000
0.000 9.314 0.000
0.000 0.000 8.718
Cs Bi Cl
8 4 20
Direct
0.165 0.008 0.077
0.165 0.492 0.077
0.335 0.508 0.577
0.335 0.992 0.577
0.665 0.008 0.423
0.665 0.492 0.423
0.835 0.508 0.923
0.835 0.992 0.923
0.001 0.250 0.550
0.499 0.750 0.050
0.501 0.250 0.950
0.999 0.750 0.450
0.019 0.250 0.879
0.055 0.553 0.664
0.055 0.947 0.664
0.179 0.250 0.409
0.188 0.750 0.370
0.312 0.250 0.870
0.321 0.750 0.909
0.445 0.053 0.164
0.445 0.447 0.164
0.481 0.750 0.379
0.519 0.250 0.621
0.555 0.553 0.836
0.555 0.947 0.836
0.679 0.250 0.091
0.688 0.750 0.130
0.812 0.250 0.630
0.821 0.750 0.591
0.945 0.053 0.336
0.945 0.447 0.336
0.981 0.750 0.121
```

Output
total DFT energy (no corrections) = -3.391 eV per atom
formation energy (no corrections) = -148.42 kJ per mole of atoms
space-group type = No. 62

---

Crystalline Mg2AlGa2Ni5 at its relaxed geometry, computed with GGA-PBE.

```
Mg2AlGa2Ni5
1.0
9.020 0.000 0.000
0.000 9.020 0.000
0.000 0.000 3.393
Mg Al Ga Ni
4 2 4 10
Direct
0.172 0.328 0.000
0.328 0.828 0.000
0.672 0.172 0.000
0.828 0.672 0.000
0.000 0.000 0.000
0.500 0.500 0.000
0.127 0.627 0.000
0.373 0.127 0.000
0.627 0.873 0.000
0.873 0.373 0.000
0.000 0.500 0.500
0.065 0.805 0.500
0.195 0.065 0.500
0.305 0.565 0.500
0.435 0.305 0.500
0.500 0.000 0.500
0.565 0.695 0.500
0.695 0.435 0.500
0.805 0.935 0.500
0.935 0.195 0.500
```

Output
total DFT energy (no corrections) = -4.488 eV per atom
energy of formation from the pure elements = -28.8 kJ per mole of atoms
space-group type = No. 127

---

Crystalline TbYRuPb at its relaxed geometry, computed with GGA-PBE.

```
TbYRuPb
1.0
3.437 0.000 0.000
0.000 3.437 0.000
0.000 0.000 8.285
Tb Y Ru Pb
1 1 1 1
Direct
0.000 0.000 0.000
0.000 0.000 0.404
0.500 0.500 0.201
0.500 0.500 0.700
```

Output
total DFT energy (no corrections) = -6.478 eV per atom
excess energy over the best structure of this formula in the dataset = 0.000 eV/atom
energy of formation from the pure elements = -44.2 kJ per mole of atoms
space-group type = No. 99

---

Crystalline La2Y2Tm at its relaxed geometry, computed with GGA-PBE.

```
La2Y2Tm
1.0
8.015 -3.167 0.000
8.015 3.167 0.000
-1.658 0.000 6.685
La Y Tm
4 4 2
Direct
0.018 0.179 0.444
0.179 0.018 0.944
0.821 0.982 0.056
0.982 0.821 0.556
0.221 0.380 0.850
0.380 0.221 0.350
0.620 0.779 0.650
0.779 0.620 0.150
0.417 0.583 0.250
0.583 0.417 0.750
```

Output
total DFT energy (no corrections) = -5.429 eV per atom
excess energy over the best structure of this formula in the dataset = 0.000 eV/atom
energy of formation from the pure elements = 2.1 kJ per mole of atoms
space-group type = No. 15

---

Crystalline RbZr3Ga at its relaxed geometry, computed with GGA-PBE.

```
RbZr3Ga
1.0
5.291 0.000 0.000
0.000 5.291 0.000
0.000 0.000 5.291
Rb Zr Ga
1 3 1
Direct
0.000 0.000 0.000
0.000 0.500 0.500
0.500 0.000 0.500
0.500 0.500 0.000
0.500 0.500 0.500
```

Output
total DFT energy (no corrections) = -5.059 eV per atom
excess energy over the best structure of this formula in the dataset = 0.000 eV/atom
energy of formation from the pure elements = 83.8 kJ per mole of atoms
space-group type = No. 221

---

Crystalline ThUB8 at its relaxed geometry, computed with GGA-PBE.

```
ThUB8
1.0
5.008 -5.114 0.000
5.008 5.114 0.000
0.000 0.000 4.042
Th U B
2 2 16
Direct
0.188 0.188 0.000
0.812 0.812 0.000
0.312 0.688 0.000
0.688 0.312 0.000
0.000 0.500 0.201
0.000 0.500 0.799
0.044 0.676 0.500
0.088 0.912 0.500
0.178 0.466 0.500
0.324 0.956 0.500
0.412 0.412 0.500
0.466 0.178 0.500
0.500 0.000 0.201
0.500 0.000 0.799
0.534 0.822 0.500
0.588 0.588 0.500
0.676 0.044 0.500
0.822 0.534 0.500
0.912 0.088 0.500
0.956 0.324 0.500
```

Output
total DFT energy (no corrections) = -7.764 eV per atom
energy of formation from the pure elements = -53.2 kJ per mole of atoms
space-group type = No. 65

---

Number 1: density of states at the Fermi level 9.2 states/eV/cell. Number 2: density of states at the Fermi level 4.2 states/eV/cell. Number 3: density of states at the Fermi level 0.0 states/eV/cell. Number 4: density of states at the Fermi level 11.2 states/eV/cell. Number 5: density of states at the Fermi level 1.5 states/eV/cell. Number 6: density of states at the Fermi level 16.0 states/eV/cell. Number 7: density of states at the Fermi level 9.7 states/eV/cell. Number 8: density of states at the Fermi level 11.7 states/eV/cell.